This record from Alexandria via LeMat-Bulk describes Mg2Ru2Se after structural relaxation. The functional is PBE.

Total moment in Bohr magnetons per cell: 0.000
Crystal system: tetragonal
DOS at the Fermi energy in states/eV/cell: 4.7
Total energy in eV per atom: -4.45
ΔE_f (raw) in eV per formula unit: 2.98

a = 7.3513 Å, b = 7.3513 Å, c = 7.3513 Å
α = 152.36°, β = 152.36°, γ = 39.48°
Sites, in units of the cell vectors:
1 Ru 0.5990 0.5990 0.0000
2 Ru 0.4010 0.4010 0.0000
3 Se 0.0000 0.0000 0.0000
4 Mg 0.7500 0.2500 0.5000
5 Mg 0.2500 0.7500 0.5000